[1]
A relaxed TlBi2SbAu4 crystal, computed with GGA-PBE.

Cell lengths 7.368, 7.070, 5.916 Å; angles 68.48, 63.20, 48.33 degrees
Element x y z (fractional)
Tl  0.000  0.000  0.000
Bi  0.250  0.250  0.250
Bi  0.750  0.750  0.750
Sb  0.500  0.500  0.500
Au  0.000  0.000  0.500
Au  0.256  0.256  0.744
Au  0.500  0.500  0.000
Au  0.744  0.744  0.256

## Properties
For the calculated total energy, the calculation gives -3.44 eV/atom.


[2]
A relaxed ScBiAu3 crystal, computed with GGA-PBE.

Cell lengths 5.111, 5.111, 5.111 Å; angles 90.00, 90.00, 90.00 degrees
Element x y z (fractional)
Sc  0.000  0.000  0.000
Bi  0.500  0.500  0.500
Au  0.000  0.000  0.500
Au  0.000  0.500  0.000
Au  0.500  0.000  0.000

## Properties
The calculation puts the formation energy from the elements at 1.714 eV per formula unit. For the energy relative to the lowest polymorph listed for this composition, the calculation gives 0 meV/atom.